Entry 1:
A plane-wave DFT calculation with PBE was carried out for a relaxed KMn2As crystal.

The space group is Immm (No. 71) and the conventional cell measures 3.030, 5.617 and 10.862 Å, with angles of 90.00, 90.00 and 90.00 degrees. Symmetry generates all atoms from K at (0.000, 0.000, 0.000), Mn at (0.000, 0.500, 0.193) and As at (0.000, 0.000, 0.500).

As for the magnetization: 16.62 Bohr magnetons per cell. The energy comes out at -44.2 eV/cell. The value obtained for the formation energy is 0.501 eV per atom. The calculation puts the calculated volume at 23.1 Å³/atom. For the density of states at the Fermi level, the calculation gives 0.7031 states/eV/atom.

Entry 2:
A plane-wave DFT calculation with PBE was carried out for a relaxed K2MnAs crystal.

The space group is P2/m (No. 10) and the conventional cell measures 4.748, 5.246 and 8.187 Å, with angles of 90.00, 102.52 and 90.00 degrees. Symmetry generates all atoms from K at (0.133, 0.000, 0.243), Mn at (0.500, 0.500, 0.000) and As at (0.000, 0.500, 0.000).

As for the magnetization: 4.17 Bohr magnetons per cell. The energy comes out at -15.7 eV/cell. The value obtained for the formation energy is 0.077 eV per atom. The calculation puts the calculated volume at 49.8 Å³/atom. For the density of states at the Fermi level, the calculation gives 0.4894 states/eV/atom.

Entry 3:
A plane-wave DFT calculation with PBE was carried out for a relaxed KMnAs2 crystal.

The space group is Pmm2 (No. 25) and the conventional cell measures 3.289, 3.290 and 8.183 Å, with angles of 90.00, 90.00 and 90.00 degrees. Symmetry generates all atoms from K at (0.000, 0.000, 0.000), Mn at (0.500, 0.000, 0.487), As at (0.000, 0.500, 0.352) and As at (0.500, 0.500, 0.712).

As for the magnetization: 2.60 Bohr magnetons per cell. The energy comes out at -20.0 eV/cell. The value obtained for the formation energy is -0.108 eV per atom. The calculation puts the calculated volume at 22.1 Å³/atom. For the density of states at the Fermi level, the calculation gives 0.2912 states/eV/atom.

Entry 4:
A plane-wave DFT calculation with PBE was carried out for a relaxed KMn2As crystal.

The space group is F-43m (No. 216) and the conventional cell measures 6.974, 6.974 and 6.974 Å, with angles of 90.00, 90.00 and 90.00 degrees. Symmetry generates all atoms from K at (0.000, 0.000, 0.000), Mn at (0.000, 0.000, 0.500), Mn at (0.250, 0.250, 0.750) and As at (0.250, 0.250, 0.250).

As for the magnetization: 33.98 Bohr magnetons per cell. The energy comes out at -84.3 eV/cell. The value obtained for the formation energy is 0.751 eV per atom. The calculation puts the calculated volume at 21.2 Å³/atom. For the density of states at the Fermi level, the calculation gives 1.1439 states/eV/atom.

Entry 5:
A plane-wave DFT calculation with PBE was carried out for a relaxed KMn2As crystal.

The space group is I-4m2 (No. 119) and the conventional cell measures 4.323, 4.323 and 8.886 Å, with angles of 90.00, 90.00 and 90.00 degrees. Symmetry generates all atoms from K at (0.000, 0.000, 0.000), Mn at (0.000, 0.000, 0.500), Mn at (0.000, 0.500, 0.750) and As at (0.000, 0.500, 0.250).

As for the magnetization: 16.33 Bohr magnetons per cell. The energy comes out at -42.2 eV/cell. The value obtained for the formation energy is 0.744 eV per atom. The calculation puts the calculated volume at 20.8 Å³/atom. For the density of states at the Fermi level, the calculation gives 0.9512 states/eV/atom.

Entry 6:
A plane-wave DFT calculation with PBE was carried out for a relaxed KMnAs2 crystal.

The space group is Imm2 (No. 44) and the conventional cell measures 3.234, 3.358 and 16.336 Å, with angles of 90.00, 90.00 and 90.00 degrees. Symmetry generates all atoms from K at (0.000, 0.000, 0.000), Mn at (0.000, 0.500, 0.741), As at (0.000, 0.000, 0.355) and As at (0.000, 0.500, 0.174).

As for the magnetization: 5.26 Bohr magnetons per cell. The energy comes out at -40.0 eV/cell. The value obtained for the formation energy is -0.113 eV per atom. The calculation puts the calculated volume at 22.2 Å³/atom. For the density of states at the Fermi level, the calculation gives 0.3805 states/eV/atom.

Entry 7:
A plane-wave DFT calculation with PBE was carried out for a relaxed K2MnAs crystal.

The space group is P4/mmm (No. 123) and the conventional cell measures 4.487, 4.487 and 5.315 Å, with angles of 90.00, 90.00 and 90.00 degrees. Symmetry generates all atoms from K at (0.000, 0.500, 0.000), Mn at (0.000, 0.000, 0.500) and As at (0.500, 0.500, 0.500).

As for the magnetization: 4.13 Bohr magnetons per cell. The energy comes out at -14.6 eV/cell. The value obtained for the formation energy is 0.344 eV per atom. The calculation puts the calculated volume at 26.7 Å³/atom. For the density of states at the Fermi level, the calculation gives 0.2734 states/eV/atom.

Entry 8:
A plane-wave DFT calculation with PBE was carried out for a relaxed K2MnAs crystal.

The space group is P4mm (No. 99) and the conventional cell measures 3.649, 3.649 and 10.169 Å, with angles of 90.00, 90.00 and 90.00 degrees. Symmetry generates all atoms from K at (0.000, 0.000, 0.000), K at (0.500, 0.500, 0.402), Mn at (0.000, 0.000, 0.686) and As at (0.500, 0.500, 0.732).

As for the magnetization: 3.79 Bohr magnetons per cell. The energy comes out at -15.7 eV/cell. The value obtained for the formation energy is 0.074 eV per atom. The calculation puts the calculated volume at 33.9 Å³/atom. For the density of states at the Fermi level, the calculation gives 0.7139 states/eV/atom.

Entry 9:
A plane-wave DFT calculation with PBE was carried out for a relaxed K2MnAs crystal.

The space group is Amm2 (No. 38) and the conventional cell measures 4.599, 5.633 and 11.179 Å, with angles of 90.00, 90.00 and 90.00 degrees. Symmetry generates all atoms from K at (0.000, 0.000, 0.000), K at (0.500, 0.000, 0.306), Mn at (0.000, 0.000, 0.674) and As at (0.500, 0.000, 0.620).

As for the magnetization: 8.00 Bohr magnetons per cell. The energy comes out at -32.4 eV/cell. The value obtained for the formation energy is -0.049 eV per atom. The calculation puts the calculated volume at 36.2 Å³/atom. For the density of states at the Fermi level, the calculation gives 0.0664 states/eV/atom.

Entry 10:
A plane-wave DFT calculation with PBE was carried out for a relaxed KMn2As crystal.

The space group is C2/m (No. 12) and the conventional cell measures 6.250, 10.225 and 2.921 Å, with angles of 90.00, 117.69 and 90.00 degrees. Symmetry generates all atoms from K at (0.000, 0.000, 0.000), Mn at (0.250, 0.250, 0.000) and As at (0.000, 0.500, 0.000).

As for the magnetization: 15.94 Bohr magnetons per cell. The energy comes out at -42.6 eV/cell. The value obtained for the formation energy is 0.702 eV per atom. The calculation puts the calculated volume at 20.7 Å³/atom. For the density of states at the Fermi level, the calculation gives 0.5516 states/eV/atom.

Entry 11:
A plane-wave DFT calculation with PBE was carried out for a relaxed K2MnAs crystal.

The space group is P4/mmm (No. 123) and the conventional cell measures 5.816, 5.816 and 3.698 Å, with angles of 90.00, 90.00 and 90.00 degrees. Symmetry generates all atoms from K at (0.000, 0.500, 0.000), Mn at (0.000, 0.000, 0.500) and As at (0.500, 0.500, 0.500).

As for the magnetization: 5.04 Bohr magnetons per cell. The energy comes out at -13.9 eV/cell. The value obtained for the formation energy is 0.536 eV per atom. The calculation puts the calculated volume at 31.3 Å³/atom. For the density of states at the Fermi level, the calculation gives 0.7432 states/eV/atom.

Entry 12:
A plane-wave DFT calculation with PBE was carried out for a relaxed KMnAs2 crystal.

The space group is Cmmm (No. 65) and the conventional cell measures 6.650, 9.043 and 2.842 Å, with angles of 90.00, 90.00 and 90.00 degrees. Symmetry generates all atoms from K at (0.000, 0.000, 0.000), Mn at (0.000, 0.500, 0.000) and As at (0.250, 0.250, 0.500).

As for the magnetization: 8.81 Bohr magnetons per cell. The energy comes out at -36.9 eV/cell. The value obtained for the formation energy is 0.274 eV per atom. The calculation puts the calculated volume at 21.4 Å³/atom. For the density of states at the Fermi level, the calculation gives 0.3576 states/eV/atom.